{"formula": "KInFeO3", "functional": "PBE with a Hubbard U", "state": "optimized geometry", "lattice_angstrom": [[-2.685, -0.343, 1.830], [-4.038, -0.558, -6.027], [2.147, -9.059, 1.453]], "species": ["In", "O", "In", "K", "O", "Fe", "K", "O", "Fe", "O", "O", "O"], "frac_coords": [[0.250, 0.638, 0.122], [0.250, 0.573, 0.887], [0.750, 0.362, 0.878], [0.250, 0.192, 0.243], [0.750, 0.427, 0.113], [0.750, 0.866, 0.414], [0.750, 0.808, 0.757], [0.250, 0.174, 0.805], [0.250, 0.134, 0.586], [0.750, 0.826, 0.195], [0.250, 0.834, 0.533], [0.750, 0.166, 0.467]], "sg": "No. 11", "energy_ev_per_atom": -5.4352, "magnetic_moment_mub_per_cell": 8.04, "dos_at_fermi_per_ev_atom": 0.21, "rho_kg_m3": 3885}